Record 1
LiMg2Ir | GGA-PBEsol | relaxed

Its energy relative to the elements is 0.018 eV/atom.

a = 3.0401 Å, b = 4.7289 Å, c = 9.3469 Å
α = 90.00°, β = 90.00°, γ = 90.00°
Space group Cmm2 (No. 35)
Asymmetric unit:
Li 0.0000 0.0000 0.0000 [2 per cell]
Mg 0.0000 0.0000 0.4369 [2 per cell]
Mg 0.0000 0.5000 0.7229 [2 per cell]
Ir 0.0000 0.5000 0.2135 [2 per cell]

=====

Record 2
MgAs3Os | GGA-PBEsol | relaxed

Its energy relative to the elements is 0.567 eV/atom.

a = 4.8067 Å, b = 4.8067 Å, c = 4.8067 Å
α = 90.00°, β = 90.00°, γ = 90.00°
Space group Pm-3m (No. 221)
Asymmetric unit:
Mg 0.0000 0.0000 0.0000 [1 per cell]
As 0.0000 0.5000 0.5000 [3 per cell]
Os 0.5000 0.5000 0.5000 [1 per cell]

=====

Record 3
Sb2HRuI | GGA-PBEsol | relaxed

For the offset from the most stable computed form, the calculation gives 0 meV/atom.

a = 4.9567 Å, b = 4.9567 Å, c = 5.7622 Å
α = 90.00°, β = 90.00°, γ = 90.00°
Space group P4/mmm (No. 123)
Asymmetric unit:
Sb 0.0000 0.5000 0.0000 [2 per cell]
H 0.0000 0.0000 0.5000 [1 per cell]
Ru 0.5000 0.5000 0.0000 [1 per cell]
I 0.5000 0.5000 0.5000 [1 per cell]

=====

Record 4
VOF | GGA-PBEsol | relaxed

The value obtained for the uncorrected formation energy is -2.45 eV per atom.

a = 6.3379 Å, b = 6.8996 Å, c = 2.9296 Å
α = 90.00°, β = 90.00°, γ = 90.00°
Space group Cmmm (No. 65)
Asymmetric unit:
V 0.0000 0.0000 0.0000 [2 per cell]
V 0.0000 0.5000 0.5000 [2 per cell]
O 0.2026 0.0000 0.5000 [4 per cell]
F 0.0000 0.2976 0.0000 [4 per cell]

=====

Record 5
LiSmSe2 | GGA-PBEsol | relaxed

The value obtained for the uncorrected formation energy is -1.66 eV per atom.

a = 5.7294 Å, b = 5.7294 Å, c = 11.5285 Å
α = 90.00°, β = 90.00°, γ = 90.00°
Space group I4_1/amd (No. 141, origin choice 2)
Asymmetric unit:
Li 0.0000 0.2500 0.3750 [4 per cell]
Sm 0.0000 0.2500 0.8750 [4 per cell]
Se 0.0000 0.2500 0.1246 [8 per cell]

=====

Record 6
MgP2Ru | GGA-PBEsol | relaxed

Its energy relative to the elements is -0.311 eV/atom.

a = 7.1123 Å, b = 3.0031 Å, c = 5.9152 Å
α = 90.00°, β = 104.16°, γ = 90.00°
Space group C2/m (No. 12)
Asymmetric unit:
Mg 0.0000 0.0000 0.0000 [2 per cell]
P 0.2456 0.0000 0.7042 [4 per cell]
Ru 0.0000 0.5000 0.5000 [2 per cell]

=====

Record 7
Be2CrCdCl | GGA-PBEsol | relaxed

The value obtained for the uncorrected formation energy is 0.84 eV per atom.

a = 4.4705 Å, b = 4.4705 Å, c = 4.1232 Å
α = 90.00°, β = 90.00°, γ = 90.00°
Space group P4/mmm (No. 123)
Asymmetric unit:
Be 0.0000 0.5000 0.0000 [2 per cell]
Cr 0.0000 0.0000 0.0000 [1 per cell]
Cd 0.5000 0.5000 0.5000 [1 per cell]
Cl 0.0000 0.0000 0.5000 [1 per cell]

=====

Record 8
La5Mn | GGA-PBEsol | relaxed

For the offset from the most stable computed form, the calculation gives 0 meV/atom. Its energy relative to the elements is 0.221 eV/atom.

a = 6.1061 Å, b = 6.1061 Å, c = 5.5085 Å
α = 90.00°, β = 90.00°, γ = 120.00°
Space group P-62m (No. 189)
Asymmetric unit:
La 0.0000 0.7029 0.0000 [3 per cell]
La 0.3333 0.6667 0.5000 [2 per cell]
Mn 0.0000 0.0000 0.5000 [1 per cell]

=====

Record 9
AlIrSe2 | GGA-PBEsol | relaxed

The value obtained for the uncorrected formation energy is 0.35 eV per atom.

a = 6.3958 Å, b = 6.3958 Å, c = 6.3958 Å
α = 90.00°, β = 90.00°, γ = 90.00°
Space group F-43m (No. 216)
Asymmetric unit:
Al 0.0000 0.0000 0.0000 [4 per cell]
Ir 0.2500 0.2500 0.7500 [4 per cell]
Se 0.0000 0.0000 0.5000 [4 per cell]
Se 0.2500 0.2500 0.2500 [4 per cell]

=====

Record 10
ZrFeP3 | GGA-PBEsol | relaxed

Its energy relative to the elements is 0.972 eV/atom.

a = 4.8958 Å, b = 4.8958 Å, c = 4.8958 Å
α = 90.00°, β = 90.00°, γ = 90.00°
Space group Pm-3m (No. 221)
Asymmetric unit:
Zr 0.0000 0.0000 0.0000 [1 per cell]
Fe 0.5000 0.5000 0.5000 [1 per cell]
P 0.0000 0.0000 0.5000 [3 per cell]

=====

Record 11
Pb4W | GGA-PBEsol | relaxed

Its energy relative to the elements is 1.196 eV/atom.

a = 4.0122 Å, b = 4.0122 Å, c = 17.6932 Å
α = 90.00°, β = 90.00°, γ = 90.00°
Space group I4/mmm (No. 139)
Asymmetric unit:
Pb 0.0000 0.0000 0.0851 [4 per cell]
Pb 0.0000 0.5000 0.2500 [4 per cell]
W 0.0000 0.0000 0.5000 [2 per cell]

=====

Record 12
ZrInSnH2 | GGA-PBEsol | relaxed

The calculation puts the total energy at -4.05 eV/atom.

a = 4.0504 Å, b = 4.0504 Å, c = 5.9372 Å
α = 90.00°, β = 90.00°, γ = 90.00°
Space group P4/mmm (No. 123)
Asymmetric unit:
Zr 0.0000 0.0000 0.0000 [1 per cell]
In 0.5000 0.5000 0.0000 [1 per cell]
Sn 0.0000 0.0000 0.5000 [1 per cell]
H 0.0000 0.5000 0.5000 [2 per cell]